! ScAs2Cl PBE relaxed; values from VASP
&SYSTEM
  ibrav = 0, nat = 4, ntyp = 3
/
ATOMIC_SPECIES
Sc 44.96 Sc.upf
Cl 35.45 Cl.upf
As 74.92 As.upf
CELL_PARAMETERS angstrom
7.139 0.162 0.093
6.211 3.523 0.093
6.235 1.721 4.893
ATOMIC_POSITIONS crystal
Sc 0.234 0.234 0.389
Cl 0.587 0.587 0.420
As 0.685 0.685 0.763
As 0.994 0.994 0.928
! Energy relative to the elements, uncorrected ... -0.90 eV/atom
! Space-group type ... No. 8
! Energy above the lowest structure with this stoichiometry ... 0 meV per atom

***

! ScAs2Cl PBE relaxed; values from VASP
&SYSTEM
  ibrav = 0, nat = 4, ntyp = 3
/
ATOMIC_SPECIES
Sc 44.96 Sc.upf
Cl 35.45 Cl.upf
As 74.92 As.upf
CELL_PARAMETERS angstrom
-4.686 -1.836 -0.675
1.950 -4.248 -1.984
0.092 -1.264 2.798
ATOMIC_POSITIONS crystal
Sc 0.000 0.500 0.500
Cl 0.500 0.000 0.500
As 0.500 0.500 0.000
As 0.000 0.000 0.000
! DOS at the Fermi energy ... 2.77 states/eV per cell
! Energy relative to the elements, uncorrected ... -0.20 eV/atom
! Space-group type ... No. 123
! Energy above the lowest structure with this stoichiometry ... 705 meV per atom

***

! ScAs2Cl PBE relaxed; values from VASP
&SYSTEM
  ibrav = 0, nat = 4, ntyp = 3
/
ATOMIC_SPECIES
As 74.92 As.upf
Sc 44.96 Sc.upf
Cl 35.45 Cl.upf
CELL_PARAMETERS angstrom
5.525 -0.009 0.005
4.438 3.290 0.005
0.808 0.266 4.635
ATOMIC_POSITIONS crystal
As 0.520 0.520 0.423
As 0.980 0.980 0.077
Sc 0.250 0.250 0.250
Cl 0.750 0.750 0.750
! DOS at the Fermi energy ... 0.89 states/eV per cell
! Energy relative to the elements, uncorrected ... -0.72 eV/atom
! Space-group type ... No. 12
! Energy above the lowest structure with this stoichiometry ... 182 meV per atom

***

! ScAs2Cl PBE relaxed; values from VASP
&SYSTEM
  ibrav = 0, nat = 4, ntyp = 3
/
ATOMIC_SPECIES
As 74.92 As.upf
Sc 44.96 Sc.upf
Cl 35.45 Cl.upf
CELL_PARAMETERS angstrom
5.594 0.006 -0.006
-3.354 4.476 -0.006
0.006 0.012 3.332
ATOMIC_POSITIONS crystal
As 0.500 0.500 0.000
As 0.000 0.000 0.000
Sc 0.000 0.500 0.500
Cl 0.500 0.000 0.500
! DOS at the Fermi energy ... 1.72 states/eV per cell
! Energy relative to the elements, uncorrected ... -0.43 eV/atom
! Space-group type ... No. 12
! Energy above the lowest structure with this stoichiometry ... 472 meV per atom

***

! ScAsCl4 PBE relaxed; values from VASP
&SYSTEM
  ibrav = 0, nat = 6, ntyp = 3
/
ATOMIC_SPECIES
Cl 35.45 Cl.upf
Sc 44.96 Sc.upf
As 74.92 As.upf
CELL_PARAMETERS angstrom
0.000 4.033 4.033
4.033 0.000 4.033
4.033 4.033 0.000
ATOMIC_POSITIONS crystal
Cl 0.875 0.375 0.375
Cl 0.375 0.875 0.375
Cl 0.375 0.375 0.875
Cl 0.375 0.375 0.375
Sc 0.750 0.750 0.750
As 0.000 0.000 0.000
! DOS at the Fermi energy ... 6.55 states/eV per cell
! Energy relative to the elements, uncorrected ... 0.29 eV/atom
! Space-group type ... No. 216

***

! ScAs2Cl PBE relaxed; values from VASP
&SYSTEM
  ibrav = 0, nat = 4, ntyp = 3
/
ATOMIC_SPECIES
As 74.92 As.upf
Sc 44.96 Sc.upf
Cl 35.45 Cl.upf
CELL_PARAMETERS angstrom
7.184 0.099 -0.001
4.384 5.692 0.001
-5.316 -3.830 2.948
ATOMIC_POSITIONS crystal
As 0.765 0.265 0.500
As 0.899 0.899 0.000
Sc 0.350 0.850 0.500
Cl 0.486 0.486 0.000
! Energy relative to the elements, uncorrected ... -0.82 eV/atom
! Space-group type ... No. 44
! Energy above the lowest structure with this stoichiometry ... 84 meV per atom

***

! ScAs2Cl PBE relaxed; values from VASP
&SYSTEM
  ibrav = 0, nat = 4, ntyp = 3
/
ATOMIC_SPECIES
Sc 44.96 Sc.upf
As 74.92 As.upf
Cl 35.45 Cl.upf
CELL_PARAMETERS angstrom
-4.560 -0.907 1.448
-3.754 1.935 -2.423
-2.888 -2.849 -2.693
ATOMIC_POSITIONS crystal
Sc 0.500 0.500 0.500
As 0.750 0.750 0.750
As 0.250 0.250 0.250
Cl 0.000 0.000 0.000
! DOS at the Fermi energy ... 3.78 states/eV per cell
! Energy relative to the elements, uncorrected ... -0.02 eV/atom
! Space-group type ... No. 225
! Energy above the lowest structure with this stoichiometry ... 883 meV per atom

***

! ScAs2Cl PBE relaxed; values from VASP
&SYSTEM
  ibrav = 0, nat = 4, ntyp = 3
/
ATOMIC_SPECIES
Cl 35.45 Cl.upf
Sc 44.96 Sc.upf
As 74.92 As.upf
CELL_PARAMETERS angstrom
-1.928 3.058 -0.989
-1.626 0.066 3.373
2.873 3.577 5.461
ATOMIC_POSITIONS crystal
Cl 0.500 0.250 0.250
Sc 0.500 0.750 0.750
As 0.000 0.053 0.947
As 0.000 0.447 0.553
! DOS at the Fermi energy ... 2.44 states/eV per cell
! Energy relative to the elements, uncorrected ... -0.63 eV/atom
! Space-group type ... No. 10
! Energy above the lowest structure with this stoichiometry ... 266 meV per atom

***

! ScAs2Cl PBE relaxed; values from VASP
&SYSTEM
  ibrav = 0, nat = 4, ntyp = 3
/
ATOMIC_SPECIES
Cl 35.45 Cl.upf
As 74.92 As.upf
Sc 44.96 Sc.upf
CELL_PARAMETERS angstrom
6.090 -0.008 0.011
3.707 4.832 -0.011
-4.710 -2.795 2.664
ATOMIC_POSITIONS crystal
Cl 0.750 0.250 0.500
As 0.018 0.018 0.000
As 0.482 0.482 0.000
Sc 0.250 0.750 0.500
! DOS at the Fermi energy ... 1.52 states/eV per cell
! Energy relative to the elements, uncorrected ... -0.66 eV/atom
! Space-group type ... No. 71
! Energy above the lowest structure with this stoichiometry ... 244 meV per atom

***

! ScAs2Cl PBE relaxed; values from VASP
&SYSTEM
  ibrav = 0, nat = 4, ntyp = 3
/
ATOMIC_SPECIES
Cl 35.45 Cl.upf
Sc 44.96 Sc.upf
As 74.92 As.upf
CELL_PARAMETERS angstrom
3.435 0.000 0.000
0.000 3.435 0.000
0.000 0.000 8.006
ATOMIC_POSITIONS crystal
Cl 0.000 0.000 0.593
Sc 0.500 0.500 0.782
As 0.500 0.500 0.128
As 0.000 0.000 0.996
! DOS at the Fermi energy ... 1.69 states/eV per cell
! Energy relative to the elements, uncorrected ... -0.75 eV/atom
! Space-group type ... No. 99
! Energy above the lowest structure with this stoichiometry ... 153 meV per atom

***

! ScAs2Cl PBE relaxed; values from VASP
&SYSTEM
  ibrav = 0, nat = 4, ntyp = 3
/
ATOMIC_SPECIES
Sc 44.96 Sc.upf
Cl 35.45 Cl.upf
As 74.92 As.upf
CELL_PARAMETERS angstrom
-4.570 7.504 1.953
-4.545 6.038 4.888
-1.979 7.848 3.937
ATOMIC_POSITIONS crystal
Sc 0.750 0.750 0.750
Cl 0.250 0.250 0.250
As 0.003 0.003 0.003
As 0.497 0.497 0.497
! DOS at the Fermi energy ... 2.82 states/eV per cell
! Energy relative to the elements, uncorrected ... -0.13 eV/atom
! Space-group type ... No. 166
! Energy above the lowest structure with this stoichiometry ... 772 meV per atom

***

! Sc2AsCl2 PBE relaxed; values from VASP
&SYSTEM
  ibrav = 0, nat = 5, ntyp = 3
/
ATOMIC_SPECIES
As 74.92 As.upf
Cl 35.45 Cl.upf
Sc 44.96 Sc.upf
CELL_PARAMETERS angstrom
3.714 0.000 0.687
1.794 3.252 0.687
0.054 0.032 10.091
ATOMIC_POSITIONS crystal
As 0.000 0.000 0.000
Cl 0.230 0.230 0.311
Cl 0.770 0.770 0.689
Sc 0.615 0.615 0.155
Sc 0.385 0.385 0.845
! DOS at the Fermi energy ... 1.99 states/eV per cell
! Energy relative to the elements, uncorrected ... -1.75 eV/atom
! Space-group type ... No. 166

***

! ScAs2Cl PBE relaxed; values from VASP
&SYSTEM
  ibrav = 0, nat = 4, ntyp = 3
/
ATOMIC_SPECIES
As 74.92 As.upf
Sc 44.96 Sc.upf
Cl 35.45 Cl.upf
CELL_PARAMETERS angstrom
-1.559 2.370 2.006
-3.715 -1.176 -1.498
-0.923 -5.205 5.432
ATOMIC_POSITIONS crystal
As 0.500 0.242 0.150
As 0.000 0.059 0.949
Sc 0.500 0.566 0.822
Cl 0.000 0.633 0.579
! DOS at the Fermi energy ... 0.57 states/eV per cell
! Energy relative to the elements, uncorrected ... -0.88 eV/atom
! Space-group type ... No. 6
! Energy above the lowest structure with this stoichiometry ... 25 meV per atom

***

! Sc2As2Cl PBE relaxed; values from VASP
&SYSTEM
  ibrav = 0, nat = 10, ntyp = 3
/
ATOMIC_SPECIES
Cl 35.45 Cl.upf
Sc 44.96 Sc.upf
As 74.92 As.upf
CELL_PARAMETERS angstrom
7.244 0.000 0.000
0.000 7.244 0.000
0.000 0.000 3.781
ATOMIC_POSITIONS crystal
Cl 0.500 0.500 0.000
Cl 0.000 0.000 0.000
Sc 0.670 0.170 0.000
Sc 0.330 0.830 0.000
Sc 0.830 0.670 0.000
Sc 0.170 0.330 0.000
As 0.374 0.126 0.500
As 0.874 0.374 0.500
As 0.626 0.874 0.500
As 0.126 0.626 0.500
! DOS at the Fermi energy ... 12.48 states/eV per cell
! Energy relative to the elements, uncorrected ... -1.19 eV/atom
! Space-group type ... No. 127

***

! ScAs2Cl PBE relaxed; values from VASP
&SYSTEM
  ibrav = 0, nat = 4, ntyp = 3
/
ATOMIC_SPECIES
Sc 44.96 Sc.upf
Cl 35.45 Cl.upf
As 74.92 As.upf
CELL_PARAMETERS angstrom
4.824 0.000 0.000
0.001 4.824 0.000
-2.412 -2.412 3.411
ATOMIC_POSITIONS crystal
Sc 0.750 0.250 0.500
Cl 0.500 0.500 0.000
As 0.250 0.750 0.500
As 0.000 0.000 0.000
! DOS at the Fermi energy ... 5.12 states/eV per cell
! Energy relative to the elements, uncorrected ... -0.33 eV/atom
! Space-group type ... No. 216
! Energy above the lowest structure with this stoichiometry ... 574 meV per atom

***

! ScAs2Cl PBE relaxed; values from VASP
&SYSTEM
  ibrav = 0, nat = 8, ntyp = 3
/
ATOMIC_SPECIES
Cl 35.45 Cl.upf
As 74.92 As.upf
Sc 44.96 Sc.upf
CELL_PARAMETERS angstrom
3.907 0.000 0.000
0.000 3.907 0.000
1.953 1.953 10.992
ATOMIC_POSITIONS crystal
Cl 0.500 0.500 0.000
Cl 0.250 0.750 0.500
As 0.375 0.323 0.750
As 0.875 0.927 0.750
As 0.073 0.625 0.250
As 0.677 0.125 0.250
Sc 0.000 0.000 0.000
Sc 0.750 0.250 0.500
! DOS at the Fermi energy ... 4.30 states/eV per cell
! Energy relative to the elements, uncorrected ... -0.62 eV/atom
! Space-group type ... No. 122
! Energy above the lowest structure with this stoichiometry ... 281 meV per atom

***

! ScSiAsCl2 PBE relaxed; values from VASP
&SYSTEM
  ibrav = 0, nat = 5, ntyp = 4
/
ATOMIC_SPECIES
Sc 44.96 Sc.upf
Cl 35.45 Cl.upf
Si 28.09 Si.upf
As 74.92 As.upf
CELL_PARAMETERS angstrom
4.728 0.000 0.000
0.000 5.925 0.000
0.000 0.000 4.728
ATOMIC_POSITIONS crystal
Sc 0.000 0.000 0.000
Cl 0.500 0.000 0.000
Cl 0.000 0.000 0.500
Si 0.000 0.500 0.000
As 0.500 0.500 0.500
! DOS at the Fermi energy ... 2.91 states/eV per cell
! Energy relative to the elements, uncorrected ... -0.30 eV/atom
! Space-group type ... No. 123

***

! ZrScAsCl2 PBE relaxed; values from VASP
&SYSTEM
  ibrav = 0, nat = 5, ntyp = 4
/
ATOMIC_SPECIES
Zr 91.22 Zr.upf
Cl 35.45 Cl.upf
As 74.92 As.upf
Sc 44.96 Sc.upf
CELL_PARAMETERS angstrom
5.038 0.000 0.000
0.000 5.438 0.000
0.000 0.000 5.038
ATOMIC_POSITIONS crystal
Zr 0.000 0.500 0.000
Cl 0.000 0.000 0.500
Cl 0.500 0.000 0.000
As 0.000 0.000 0.000
Sc 0.500 0.500 0.500
! DOS at the Fermi energy ... 5.26 states/eV per cell
! Energy relative to the elements, uncorrected ... 0.31 eV/atom
! Space-group type ... No. 123

***

! AsSe3Cl PBE relaxed; values from VASP
&SYSTEM
  ibrav = 0, nat = 10, ntyp = 3
/
ATOMIC_SPECIES
Se 78.96 Se.upf
As 74.92 As.upf
Cl 35.45 Cl.upf
CELL_PARAMETERS angstrom
-1.480 -2.974 -3.052
-1.649 -5.133 5.801
-8.497 3.522 0.687
ATOMIC_POSITIONS crystal
Se 0.459 0.805 0.887
Se 0.959 0.548 0.386
Se 0.781 0.928 0.701
Se 0.959 0.548 0.015
Se 0.459 0.805 0.515
Se 0.281 0.425 0.201
As 0.199 0.633 0.701
As 0.698 0.720 0.201
Cl 0.480 0.390 0.701
Cl 0.980 0.962 0.201
! Energy relative to the elements, uncorrected ... -0.15 eV/atom
! Space-group type ... No. 4
! Energy above the lowest structure with this stoichiometry ... 0 meV per atom

***

! AsSe3Cl PBE relaxed; values from VASP
&SYSTEM
  ibrav = 0, nat = 5, ntyp = 3
/
ATOMIC_SPECIES
Se 78.96 Se.upf
As 74.92 As.upf
Cl 35.45 Cl.upf
CELL_PARAMETERS angstrom
5.052 0.000 0.000
0.000 5.052 0.000
0.000 0.000 5.052
ATOMIC_POSITIONS crystal
Se 0.000 0.500 0.000
Se 0.000 0.000 0.500
Se 0.500 0.000 0.000
As 0.000 0.000 0.000
Cl 0.500 0.500 0.500
! DOS at the Fermi energy ... 5.30 states/eV per cell
! Energy relative to the elements, uncorrected ... 0.60 eV/atom
! Space-group type ... No. 221
! Energy above the lowest structure with this stoichiometry ... 745 meV per atom